(1)
Compound: TlNiBi3
Source: Alexandria
Functional: meta-GGA SCAN
Structure: single point on PBEsol structure

Cell lengths 5.6791, 5.6791, 5.6791 Å; angles 90.00, 90.00, 90.00 degrees
Last column: nearest neighbours and their distance in Å.
Atoms (fractional coordinates):
Ni 0.5000 0.5000 0.5000  12 Bi 4.02
Tl 0.0000 0.0000 0.0000  6 Bi 2.84
Bi 0.0000 0.5000 0.0000  2 Tl 2.84
Bi 0.0000 0.0000 0.5000  2 Tl 2.84
Bi 0.5000 0.0000 0.0000  2 Tl 2.84

Calculated values
V: 36.632 A^3/atom
E_form: 1.51 eV per atom
Space-group type: Pm-3m
Total energy: -316.71 eV per cell
Magnetic moment: 1.005 μB per formula unit

(2)
Compound: TmNiBi
Source: Alexandria
Functional: meta-GGA SCAN
Structure: single point on PBEsol structure

Cell lengths 4.4756, 4.4756, 4.4756 Å; angles 60.00, 60.00, 60.00 degrees
Last column: nearest neighbours and their distance in Å.
Atoms (fractional coordinates):
Ni 0.7500 0.7500 0.7500  4 Tm 2.74, 4 Bi 2.74
Tm 0.5000 0.5000 0.5000  4 Ni 2.74
Bi 0.0000 0.0000 0.0000  4 Ni 2.74

Calculated values
V: 21.131 A^3/atom
E_form: -0.79 eV per atom
Space-group type: F-43m
Total energy: -148.97 eV per cell
Magnetic moment: 0.000 μB per formula unit

(3)
Compound: Y2Ni2Bi
Source: Alexandria
Functional: meta-GGA SCAN
Structure: single point on PBEsol structure

Cell lengths 3.6060, 7.4159, 7.4159 Å; angles 90.00, 90.00, 90.00 degrees
Last column: nearest neighbours and their distance in Å.
Atoms (fractional coordinates):
Y 0.5000 0.1717 0.6717  6 Ni 2.82-2.87
Y 0.5000 0.6717 0.8283  6 Ni 2.82-2.87
Y 0.5000 0.8283 0.3283  6 Ni 2.82-2.87
Y 0.5000 0.3283 0.1717  6 Ni 2.82-2.87
Ni 0.0000 0.3843 0.8843  1 Ni 2.43
Ni 0.0000 0.8843 0.6157  1 Ni 2.43
Ni 0.0000 0.6157 0.1157  1 Ni 2.43
Ni 0.0000 0.1157 0.3843  1 Ni 2.43
Bi 0.0000 0.0000 0.0000  4 Ni 2.98, 8 Y 3.29
Bi 0.0000 0.5000 0.5000  4 Ni 2.98, 8 Y 3.29

Calculated values
V: 19.832 A^3/atom
E_form: -0.57 eV per atom
Space-group type: P4/mbm
Total energy: -338.90 eV per cell
Magnetic moment: 0.000 μB per formula unit

(4)
Compound: Zr2Ni2Bi
Source: Alexandria
Functional: meta-GGA SCAN
Structure: single point on PBEsol structure

Cell lengths 3.6171, 6.9471, 6.9471 Å; angles 90.00, 90.00, 90.00 degrees
Last column: nearest neighbours and their distance in Å.
Atoms (fractional coordinates):
Ni 0.0000 0.3772 0.8772  1 Ni 2.41
Ni 0.0000 0.8772 0.6228  1 Ni 2.41
Ni 0.0000 0.6228 0.1228  1 Ni 2.41
Ni 0.0000 0.1228 0.3772  1 Ni 2.41
Bi 0.0000 0.0000 0.0000  4 Ni 2.76
Bi 0.0000 0.5000 0.5000  4 Ni 2.76
Zr 0.5000 0.1646 0.6646  6 Ni 2.71-2.76
Zr 0.5000 0.6646 0.8354  6 Ni 2.71-2.76
Zr 0.5000 0.8354 0.3354  6 Ni 2.71-2.76
Zr 0.5000 0.3354 0.1646  6 Ni 2.71-2.76

Calculated values
V: 17.457 A^3/atom
E_form: -0.48 eV per atom
Space-group type: P4/mbm
Total energy: -349.48 eV per cell
Magnetic moment: 0.000 μB per formula unit

(5)
Compound: ZrNiBi
Source: Alexandria
Functional: meta-GGA SCAN
Structure: single point on PBEsol structure

Cell lengths 4.3825, 4.3825, 4.3825 Å; angles 60.00, 60.00, 60.00 degrees
Last column: nearest neighbours and their distance in Å.
Atoms (fractional coordinates):
Ni 0.7500 0.7500 0.7500  4 Zr 2.68, 4 Bi 2.68
Bi 0.5000 0.5000 0.5000  4 Ni 2.68
Zr 0.0000 0.0000 0.0000  4 Ni 2.68

Calculated values
V: 19.839 A^3/atom
E_form: -0.43 eV per atom
Space-group type: F-43m
Total energy: -126.75 eV per cell
Magnetic moment: 0.000 μB per formula unit

(6)
Compound: Zr6NiBi2
Source: Alexandria
Functional: meta-GGA SCAN
Structure: single point on PBEsol structure

Cell lengths 3.6561, 7.8244, 7.8244 Å; angles 120.00, 90.00, 90.00 degrees
Last column: nearest neighbours and their distance in Å.
Atoms (fractional coordinates):
Ni 0.0000 0.0000 0.0000  6 Zr 2.60
Bi 0.5000 0.3333 0.6667  9 Zr 3.02-3.06
Bi 0.5000 0.6667 0.3333  9 Zr 3.02-3.06
Zr 0.5000 0.2371 0.0000  2 Ni 2.60
Zr 0.5000 0.0000 0.2371  2 Ni 2.60
Zr 0.5000 0.7629 0.7629  2 Ni 2.60
Zr 0.0000 0.3940 0.3940  4 Bi 3.02, 1 Ni 3.08, 4 Zr 3.25
Zr 0.0000 0.0000 0.6060  4 Bi 3.02, 1 Ni 3.08, 4 Zr 3.25
Zr 0.0000 0.6060 0.0000  4 Bi 3.02, 1 Ni 3.08, 4 Zr 3.25

Calculated values
V: 21.538 A^3/atom
E_form: -0.49 eV per atom
Space-group type: P-62m
Total energy: -361.90 eV per cell
Magnetic moment: 0.000 μB per formula unit

(7)
Compound: Bi19O30
Source: Alexandria
Functional: meta-GGA SCAN
Structure: single point on PBEsol structure

Cell lengths 8.8442, 14.4130, 14.4130 Å; angles 120.00, 90.00, 90.00 degrees
Last column: nearest neighbours and their distance in Å.
Atoms (fractional coordinates):
Bi 0.6823 0.8505 0.8423  3 O 2.12-2.26
Bi 0.7769 0.6248 0.5587  3 O 2.11-2.24
Bi 0.9864 0.4916 0.3228  3 O 2.11-2.23
Bi 0.6823 0.1577 0.0083  3 O 2.12-2.26
Bi 0.9130 0.0496 0.7842  4 O 2.11-2.36
Bi 0.5687 0.3858 0.2709  3 O 2.12-2.28
Bi 0.9864 0.8312 0.5084  3 O 2.11-2.23
Bi 0.7769 0.4413 0.0661  3 O 2.11-2.24
Bi 0.0980 0.7812 0.7364  4 O 2.12-2.37
Bi 0.5687 0.8851 0.6142  3 O 2.12-2.28
Bi 0.6709 0.6667 0.3333  4 O 2.04-2.05
Bi 0.3276 0.0144 0.8505  3 O 2.10-2.28
Bi 0.3156 0.6674 0.4869  3 O 2.12-2.26
Bi 0.9869 0.3274 0.8187  3 O 2.10-2.25
Bi 0.9864 0.6772 0.1688  3 O 2.11-2.23
Bi 0.3156 0.5131 0.1805  3 O 2.12-2.26
Bi 0.7769 0.9339 0.3752  3 O 2.11-2.24
Bi 0.0980 0.2636 0.0448  4 O 2.12-2.37
Bi 0.9869 0.1813 0.5087  3 O 2.10-2.25
Bi 0.4439 0.2941 0.9040  3 O 2.11-2.29
Bi 0.6565 0.1519 0.6547  3 O 2.12-2.26
Bi 0.3156 0.8195 0.3326  3 O 2.12-2.26
Bi 0.9869 0.4913 0.6726  3 O 2.10-2.25
Bi 0.5687 0.7291 0.1149  3 O 2.12-2.28
Bi 0.2490 0.0519 0.6056  3 O 2.11-2.24
Bi 0.6565 0.5028 0.8481  3 O 2.12-2.26
Bi 0.9130 0.7345 0.9504  4 O 2.11-2.36
Bi 0.9130 0.2158 0.2655  4 O 2.11-2.36
Bi 0.4439 0.0960 0.3901  3 O 2.11-2.29
Bi 0.2490 0.5536 0.9481  3 O 2.11-2.24
Bi 0.3379 0.3333 0.6667  4 O 2.03
Bi 0.6823 0.9917 0.1495  3 O 2.12-2.26
Bi 0.6565 0.3453 0.4972  3 O 2.12-2.26
Bi 0.4439 0.6099 0.7059  3 O 2.11-2.29
Bi 0.0980 0.9552 0.2188  4 O 2.12-2.37
Bi 0.3276 0.8361 0.9856  3 O 2.10-2.28
Bi 0.2490 0.3944 0.4464  3 O 2.11-2.24
Bi 0.3276 0.1495 0.1639  3 O 2.10-2.28
O 0.9009 0.2031 0.1013  3 Bi 2.26-2.28
O 0.9009 0.8982 0.7969  3 Bi 2.26-2.28
O 0.5882 0.2088 0.1614  2 Bi 2.12-2.24
O 0.5911 0.7041 0.6587  2 Bi 2.11-2.22
O 0.7775 0.4439 0.2226  3 Bi 2.23-2.28
O 0.7775 0.7787 0.5561  3 Bi 2.23-2.28
O 0.9187 0.2974 0.9682  2 Bi 2.12-2.22
O 0.5882 0.9526 0.7912  2 Bi 2.12-2.24
O 0.5783 0.5905 0.4073  1 Bi 2.05
O 0.9020 0.6667 0.3333  1 Bi 2.04
O 0.2580 0.5050 0.3808  2 Bi 2.12-2.22
O 0.9190 0.1681 0.7159  1 Bi 2.10
O 0.4250 0.1628 0.9584  1 Bi 2.10
O 0.7384 0.9932 0.6228  2 Bi 2.12-2.22
O 0.5911 0.3413 0.0454  2 Bi 2.11-2.22
O 0.0744 0.3339 0.2906  2 Bi 2.11-2.22
O 0.5783 0.5927 0.1832  1 Bi 2.05
O 0.5783 0.8168 0.4095  1 Bi 2.05
O 0.0761 0.7124 0.5381  2 Bi 2.11-2.23
O 0.4084 0.0432 0.7095  1 Bi 2.11
O 0.7521 0.3807 0.8709  2 Bi 2.12-2.21
O 0.1216 0.1204 0.8807  3 Bi 2.23-2.28
O 0.7775 0.7774 0.2213  3 Bi 2.23-2.28
O 0.9572 0.3333 0.6667  3 Bi 2.25
O 0.2621 0.6667 0.3333  3 Bi 2.26
O 0.7384 0.6296 0.0068  2 Bi 2.12-2.22
O 0.0744 0.9567 0.6661  2 Bi 2.11-2.22
O 0.2580 0.8758 0.4950  2 Bi 2.12-2.22
O 0.9190 0.5478 0.8319  1 Bi 2.10
O 0.2530 0.3691 0.9997  1 Bi 2.11
O 0.9187 0.0318 0.3293  2 Bi 2.12-2.22
O 0.7521 0.1291 0.5098  2 Bi 2.12-2.21
O 0.0761 0.4619 0.1744  2 Bi 2.11-2.23
O 0.4632 0.0767 0.5383  3 Bi 2.24-2.29
O 0.4632 0.4616 0.9233  3 Bi 2.24-2.29
O 0.9190 0.2841 0.4522  1 Bi 2.10
O 0.5911 0.9546 0.2959  2 Bi 2.11-2.22
O 0.2580 0.6192 0.1242  2 Bi 2.12-2.22
O 0.5672 0.3333 0.6667  1 Bi 2.03
O 0.9009 0.8987 0.1018  3 Bi 2.26-2.28
O 0.2612 0.2563 0.7432  1 Bi 2.03
O 0.5882 0.8386 0.0474  2 Bi 2.12-2.24
O 0.7521 0.4902 0.6193  2 Bi 2.12-2.21
O 0.0761 0.8256 0.2876  2 Bi 2.11-2.23
O 0.2530 0.0003 0.3694  1 Bi 2.11
O 0.9187 0.6707 0.7026  2 Bi 2.12-2.22
O 0.4084 0.6663 0.9568  1 Bi 2.11
O 0.2612 0.2568 0.5132  1 Bi 2.03
O 0.2612 0.4868 0.7437  1 Bi 2.03
O 0.4250 0.0416 0.2044  1 Bi 2.10
O 0.0744 0.7094 0.0433  2 Bi 2.11-2.22
O 0.7384 0.3772 0.3704  2 Bi 2.12-2.22
O 0.6671 0.0000 0.0000  3 Bi 2.22
O 0.4632 0.4617 0.5384  3 Bi 2.24-2.29
O 0.4084 0.2905 0.3337  1 Bi 2.11
O 0.4250 0.7956 0.8372  1 Bi 2.10
O 0.1216 0.7603 0.8796  3 Bi 2.23-2.28
O 0.1216 0.1193 0.2397  3 Bi 2.23-2.28
O 0.2530 0.6306 0.6309  1 Bi 2.11
O 0.3053 0.0000 0.0000  3 Bi 2.27

Calculated values
V: 16.236 A^3/atom
Formation energy (no corrections): -1.06 eV per atom
Space-group type: P3
Total energy: -3463.88 eV per cell
Magnetic moment: 0.002 μB per formula unit

(8)
Compound: Bi16O25
Source: Alexandria
Functional: meta-GGA SCAN
Structure: single point on PBEsol structure

Cell lengths 9.4862, 9.4862, 9.4862 Å; angles 109.60, 109.60, 109.21 degrees
Last column: nearest neighbours and their distance in Å.
Atoms (fractional coordinates):
Bi 0.5081 0.2605 0.0000  3 O 2.12-2.22
Bi 0.0230 0.7589 0.0000  4 O 2.23-2.37
Bi 0.2338 0.9921 0.5023  3 O 2.14-2.26
Bi 0.7315 0.4897 0.4977  3 O 2.14-2.26
Bi 0.2411 0.2411 0.2641  4 O 2.23-2.37
Bi 0.9770 0.9770 0.7359  4 O 2.23-2.37
Bi 0.4919 0.4919 0.7524  3 O 2.12-2.22
Bi 0.7395 0.7395 0.2476  3 O 2.12-2.22
Bi 0.9921 0.2338 0.5023  3 O 2.14-2.26
Bi 0.4897 0.7315 0.4977  3 O 2.14-2.26
Bi 0.2605 0.5081 0.0000  3 O 2.12-2.22
Bi 0.7589 0.0230 0.0000  4 O 2.23-2.37
Bi 0.7662 0.2685 0.7583  3 O 2.14-2.26
Bi 0.2685 0.7662 0.7583  3 O 2.14-2.26
Bi 0.0079 0.5103 0.2417  3 O 2.14-2.26
Bi 0.5103 0.0079 0.2417  3 O 2.14-2.26
O 0.7965 0.5000 0.2965  2 Bi 2.22
O 0.5000 0.2035 0.7035  2 Bi 2.22
O 0.2907 0.0000 0.2907  2 Bi 2.26
O 0.0000 0.7093 0.7093  2 Bi 2.26
O 0.2453 0.0463 0.7903  2 Bi 2.22-2.23
O 0.9537 0.7440 0.1990  2 Bi 2.22-2.23
O 0.4550 0.2560 0.2097  2 Bi 2.22-2.23
O 0.7547 0.5450 0.8010  2 Bi 2.22-2.23
O 0.4688 0.4688 0.5141  2 Bi 2.12-2.24
O 0.9547 0.9547 0.4859  2 Bi 2.12-2.24
O 0.7007 0.7007 0.4887  2 Bi 2.14
O 0.2120 0.2120 0.5113  2 Bi 2.14
O 0.0000 0.0000 0.0000  4 Bi 2.37
O 0.5450 0.7547 0.8010  2 Bi 2.22-2.23
O 0.0463 0.2453 0.7903  2 Bi 2.22-2.23
O 0.7440 0.9537 0.1990  2 Bi 2.22-2.23
O 0.2560 0.4550 0.2097  2 Bi 2.22-2.23
O 0.5000 0.7965 0.2965  2 Bi 2.22
O 0.7093 0.0000 0.7093  2 Bi 2.26
O 0.0000 0.2907 0.2907  2 Bi 2.26
O 0.2035 0.5000 0.7035  2 Bi 2.22
O 0.7880 0.2993 0.0000  2 Bi 2.14
O 0.2993 0.7880 0.0000  2 Bi 2.14
O 0.5312 0.0453 0.0000  2 Bi 2.12-2.24
O 0.0453 0.5312 0.0000  2 Bi 2.12-2.24

Calculated values
V: 16.028 A^3/atom
Formation energy (no corrections): -1.06 eV per atom
Space-group type: I-42m
Total energy: -1456.53 eV per cell
Magnetic moment: 2.014 μB per formula unit